Arrangement w

The following is a PBE calculation of an optimized crystal structure of Te2As2I, from Alexandria via LeMat-Bulk.

Cell lengths 5.0539, 5.0539, 12.6119 Å; angles 90.00, 90.00, 90.00 degrees
Space group I4/mmm (No. 139)
Asymmetric unit:
Te: 0.0000 0.0000 0.1531 x4
As: 0.0000 0.5000 0.2500 x4
I: 0.0000 0.0000 0.5000 x2

Computed properties:
mass density = 5.48 g cm⁻³


Arrangement x

The following is a PBE calculation of an optimized crystal structure of Te2As2I, from Alexandria via LeMat-Bulk.

Cell lengths 8.9153, 8.9153, 3.9088 Å; angles 90.00, 90.00, 90.00 degrees
Space group P4/mbm (No. 127)
Asymmetric unit:
Te: 0.1392 0.3608 0.0000 x4
As: 0.2182 0.7182 0.5000 x4
I: 0.0000 0.0000 0.5000 x2

Computed properties:
mass density = 5.69 g cm⁻³


Arrangement y

The following is a PBE calculation of an optimized crystal structure of Te2As2I, from Alexandria via LeMat-Bulk.

Cell lengths 5.4993, 5.4993, 9.5895 Å; angles 90.00, 90.00, 90.00 degrees
Space group I4/mmm (No. 139)
Asymmetric unit:
Te: 0.0000 0.5000 0.2500 x4
As: 0.0000 0.0000 0.1427 x4
I: 0.0000 0.0000 0.5000 x2

Computed properties:
mass density = 6.09 g cm⁻³


If you had to name the least stable structure above, which would it be? It would be arrangement x.